This record from the Alexandria database describes Pb5C after structural relaxation. The functional is PBE-GGA.

a b c (Å): 3.4123 3.4123 13.9525
angles (deg): 90.00 90.00 90.00
With the nearest neighbours (Å) after each atom.
Space group P4/mmm (No. 123)
One atom of each set of equivalent atoms:
Pb 0.0000 0.0000 0.0000 [1 per cell]  12 Pb 3.41-3.55
Pb 0.0000 0.0000 0.3910 [2 per cell]  4 C 2.85, 1 Pb 3.04
Pb 0.5000 0.5000 0.1865 [2 per cell]  12 Pb 3.41-3.74
C 0.5000 0.5000 0.5000 [1 per cell]  8 Pb 2.85

Computed properties:
- Volume: 27.1 A^3/atom
- Energy relative to the lowest polymorph listed for this composition: 4 kJ/mol of formula units
- ΔE_f: 0.73 eV per atom
- E_tot: -3.90 eV per atom
- Spin magnetization: 0.00 Bohr magnetons per cell

=====

This record from the Alexandria database describes PbC2 after structural relaxation. The functional is PBE-GGA.

a b c (Å): 11.1776 2.9280 7.8072
angles (deg): 90.00 124.77 90.00
With the nearest neighbours (Å) after each atom.
Space group C2/m (No. 12)
One atom of each set of equivalent atoms:
Pb 0.1027 0.0000 0.2532 [4 per cell]  3 Pb 2.93-3.25, 6 C 3.03-3.21
C 0.1793 0.5000 0.8850 [4 per cell]  3 C 1.48-1.56
C 0.2284 0.0000 0.8846 [4 per cell]  3 C 1.48-1.56

Computed properties:
- Volume: 17.5 A^3/atom
- Energy relative to the lowest polymorph listed for this composition: 274 kJ/mol of formula units
- ΔE_f: 1.33 eV per atom
- E_tot: -6.06 eV per atom
- Spin magnetization: 0.00 Bohr magnetons per cell

=====

This record from the Alexandria database describes PbC2 after structural relaxation. The functional is PBE-GGA.

a b c (Å): 2.7731 2.7731 23.9674
angles (deg): 90.00 90.00 120.00
With the nearest neighbours (Å) after each atom.
Space group R3m (No. 160, hexagonal axes)
One atom of each set of equivalent atoms:
Pb 0.0000 0.0000 0.0000 [3 per cell]  6 Pb 2.77
C 0.0000 0.0000 0.1668 [3 per cell]  3 C 1.60
C 0.0000 0.0000 0.5002 [3 per cell]  3 C 1.60

Computed properties:
- Volume: 17.7 A^3/atom
- Energy relative to the lowest polymorph listed for this composition: 246 kJ/mol of formula units
- ΔE_f: 1.23 eV per atom
- E_tot: -6.15 eV per atom
- Spin magnetization: 0.00 Bohr magnetons per cell

=====

This record from the Alexandria database describes PbC3 after structural relaxation. The functional is PBE-GGA.

a b c (Å): 4.5682 4.5682 4.5682
angles (deg): 90.00 90.00 90.00
With the nearest neighbours (Å) after each atom.
Space group Im-3m (No. 229)
One atom of each set of equivalent atoms:
Pb 0.0000 0.0000 0.0000 [2 per cell]  6 C 2.28
C 0.0000 0.0000 0.5000 [6 per cell]  2 Pb 2.28, 4 C 2.28

Computed properties:
- Volume: 11.9 A^3/atom
- Energy relative to the lowest polymorph listed for this composition: 883 kJ/mol of formula units
- ΔE_f: 3.18 eV per atom
- E_tot: -4.67 eV per atom
- Spin magnetization: 0.00 Bohr magnetons per cell

=====

This record from the Alexandria database describes PbC3 after structural relaxation. The functional is PBE-GGA.

a b c (Å): 2.9056 2.9056 19.8681
angles (deg): 90.00 90.00 120.00
With the nearest neighbours (Å) after each atom.
Space group R-3m (No. 166, hexagonal axes)
One atom of each set of equivalent atoms:
Pb 0.0000 0.0000 0.0000 [3 per cell]  6 Pb 2.91, 6 C 3.07
C 0.0000 0.0000 0.2039 [6 per cell]  3 C 1.83
C 0.0000 0.0000 0.5000 [3 per cell]  6 C 1.83

Computed properties:
- Volume: 12.1 A^3/atom
- Energy relative to the lowest polymorph listed for this composition: 668 kJ/mol of formula units
- ΔE_f: 2.62 eV per atom
- E_tot: -5.22 eV per atom
- Spin magnetization: 0.00 Bohr magnetons per cell

=====

This record from the Alexandria database describes Pb3C after structural relaxation. The functional is PBE-GGA.

a b c (Å): 3.6159 3.6159 26.9260
angles (deg): 90.00 90.00 120.00
With the nearest neighbours (Å) after each atom.
Space group R-3m (No. 166, hexagonal axes)
One atom of each set of equivalent atoms:
Pb 0.0000 0.0000 0.0000 [3 per cell]  12 Pb 3.62-3.71
Pb 0.0000 0.0000 0.2192 [6 per cell]  3 C 2.52
C 0.0000 0.0000 0.5000 [3 per cell]  6 Pb 2.52

Computed properties:
- Volume: 25.4 A^3/atom
- Energy relative to the lowest polymorph listed for this composition: 48 kJ/mol of formula units
- ΔE_f: 0.82 eV per atom
- E_tot: -4.26 eV per atom
- Spin magnetization: 0.00 Bohr magnetons per cell

=====

This record from the Alexandria database describes PbC2 after structural relaxation. The functional is PBE-GGA.

a b c (Å): 2.9646 23.2682 2.7034
angles (deg): 90.00 90.00 90.00
With the nearest neighbours (Å) after each atom.
Space group Cmcm (No. 63)
One atom of each set of equivalent atoms:
Pb 0.0000 0.1430 0.2500 [4 per cell]  2 C 2.65, 4 Pb 2.70-2.96
C 0.0000 0.2409 0.7500 [4 per cell]  4 C 2.05
C 0.0000 0.4995 0.7500 [4 per cell]  2 C 1.35

Computed properties:
- Volume: 15.5 A^3/atom
- Energy relative to the lowest polymorph listed for this composition: 441 kJ/mol of formula units
- ΔE_f: 1.90 eV per atom
- E_tot: -5.48 eV per atom
- Spin magnetization: 0.00 Bohr magnetons per cell

=====

This record from the Alexandria database describes PbC3 after structural relaxation. The functional is PBE-GGA.

a b c (Å): 3.7042 3.7042 3.7042
angles (deg): 90.00 90.00 90.00
With the nearest neighbours (Å) after each atom.
Space group Pm-3m (No. 221)
One atom of each set of equivalent atoms:
Pb 0.0000 0.0000 0.0000 [1 per cell]  12 C 2.62
C 0.0000 0.5000 0.5000 [3 per cell]  8 C 2.62, 4 Pb 2.62

Computed properties:
- Volume: 12.7 A^3/atom
- Energy relative to the lowest polymorph listed for this composition: 1076 kJ/mol of formula units
- ΔE_f: 3.68 eV per atom
- E_tot: -4.17 eV per atom
- Spin magnetization: 0.00 Bohr magnetons per cell

=====

This record from the Alexandria database describes PbC3 after structural relaxation. The functional is PBE-GGA.

a b c (Å): 2.7365 2.7365 6.6072
angles (deg): 90.00 90.00 90.00
With the nearest neighbours (Å) after each atom.
Space group P-4m2 (No. 115)
One atom of each set of equivalent atoms:
Pb 0.0000 0.0000 0.0000 [1 per cell]  4 Pb 2.74, 4 C 2.87
C 0.0000 0.5000 0.6187 [2 per cell]  2 C 1.58
C 0.5000 0.5000 0.5000 [1 per cell]  4 C 1.58

Computed properties:
- Volume: 12.4 A^3/atom
- Energy relative to the lowest polymorph listed for this composition: 313 kJ/mol of formula units
- ΔE_f: 1.70 eV per atom
- E_tot: -6.15 eV per atom
- Spin magnetization: 0.00 Bohr magnetons per cell

=====

This record from the Alexandria database describes Pb4C after structural relaxation. The functional is PBE-GGA.

a b c (Å): 4.3342 4.3342 16.7733
angles (deg): 90.00 90.00 90.00
With the nearest neighbours (Å) after each atom.
Space group I4/mmm (No. 139)
One atom of each set of equivalent atoms:
Pb 0.0000 0.0000 0.0912 [4 per cell]  1 Pb 3.06
Pb 0.0000 0.5000 0.2500 [4 per cell]  4 Pb 3.06
C 0.0000 0.0000 0.5000 [2 per cell]  8 Pb 3.42

Computed properties:
- Volume: 31.5 A^3/atom
- Energy relative to the lowest polymorph listed for this composition: 274 kJ/mol of formula units
- ΔE_f: 1.39 eV per atom
- E_tot: -3.42 eV per atom
- Spin magnetization: 3.58 Bohr magnetons per cell

=====

This record from the Alexandria database describes PbC2 after structural relaxation. The functional is PBE-GGA.

a b c (Å): 4.1673 4.1673 13.1318
angles (deg): 90.00 90.00 120.00
With the nearest neighbours (Å) after each atom.
Space group P-3m1 (No. 164)
One atom of each set of equivalent atoms:
Pb 0.0000 0.0000 0.0000 [1 per cell]  6 C 2.72
Pb 0.3333 0.6667 0.3668 [2 per cell]  1 C 2.29
C 0.0000 0.0000 0.4502 [2 per cell]  1 C 1.31
C 0.3333 0.6667 0.0964 [2 per cell]  1 C 1.26
C 0.3333 0.6667 0.1922 [2 per cell]  1 C 1.26

Computed properties:
- Volume: 21.9 A^3/atom
- Energy relative to the lowest polymorph listed for this composition: 273 kJ/mol of formula units
- ΔE_f: 1.33 eV per atom
- E_tot: -6.06 eV per atom
- Spin magnetization: 0.00 Bohr magnetons per cell

=====

This record from the Alexandria database describes PbC2 after structural relaxation. The functional is PBE-GGA.

a b c (Å): 8.2287 3.8453 8.2150
angles (deg): 90.00 112.94 90.00
With the nearest neighbours (Å) after each atom.
Space group Cm (No. 8)
One atom of each set of equivalent atoms:
Pb 0.0000 0.0000 0.0000 [2 per cell]  4 C 2.28-2.39
Pb 0.0854 0.5000 0.6289 [2 per cell]  3 C 2.32-2.40
C 0.2917 0.0000 0.1837 [2 per cell]  2 C 1.36-1.43
C 0.4465 0.0000 0.1438 [2 per cell]  2 C 1.43-1.45
C 0.4509 0.0000 0.3221 [2 per cell]  2 C 1.36-1.45
C 0.4553 0.5000 0.7052 [2 per cell]  3 Pb 2.30-2.40

Computed properties:
- Volume: 19.9 A^3/atom
- Energy relative to the lowest polymorph listed for this composition: 360 kJ/mol of formula units
- ΔE_f: 1.63 eV per atom
- E_tot: -5.76 eV per atom
- Spin magnetization: 0.00 Bohr magnetons per cell